1.
## Sr5Se4S (PBE-GGA)

Data for a relaxed structure of Sr5Se4S.

Structure (POSCAR):
```
Sr5Se4S
1.0
-0.0409 -4.0333 1.8232
3.7076 0.9646 2.2172
-10.3717 7.0000 9.8798
Sr Se S
5 4 1
direct
0.0975 0.0975 0.1950
0.5000 0.5000 0.0000
0.9025 0.9025 0.8050
0.3002 0.3002 0.6004
0.6998 0.6998 0.3996
0.4009 0.4009 0.8018
0.8008 0.8008 0.6017
0.1992 0.1992 0.3983
0.5991 0.5991 0.1982
0.0000 0.0000 0.0000
```

- DOS at the Fermi energy (states/eV per atom) = 0.000
- DFT total energy (eV/atom) = -4.729
- uncorrected formation energy (meV/atom) = -2081
- magnetic moment (μB per atom) = 0.000

***

2.
## Cs2TeS5 (PBE-GGA)

Data for a relaxed structure of Cs2TeS5.

Structure (POSCAR):
```
Cs2TeS5
1.0
1.6671 -2.2310 -6.7267
-2.7200 -3.4456 5.8205
-8.3684 4.7141 -1.1612
Cs Te S
2 1 5
direct
0.4256 0.7343 0.1630
0.4756 0.1932 0.6661
0.9637 0.9778 0.9423
0.0586 0.8807 0.2817
0.5138 0.7154 0.7825
0.3991 0.2209 0.2803
0.0690 0.2704 0.7832
0.0946 0.7842 0.8778
```

- DOS at the Fermi energy (states/eV per atom) = 0.405
- DFT total energy (eV/atom) = -3.566
- uncorrected formation energy (meV/atom) = -380
- magnetic moment (μB per atom) = 0.131

***

3.
## InRh2Se2 (PBE-GGA)

Data for a relaxed structure of InRh2Se2.

Structure (POSCAR):
```
InRh2Se2
1.0
-1.1700 -2.1486 -3.2090
-0.4037 -3.2667 2.3343
-6.9905 -1.0958 0.7453
Rh Se In
2 2 1
direct
0.7500 0.2500 0.5000
0.2500 0.7500 0.5000
0.3623 0.3623 0.2754
0.6377 0.6377 0.7246
0.0000 0.0000 0.0000
```

- DOS at the Fermi energy (states/eV per atom) = 1.448
- DFT total energy (eV/atom) = -5.062
- uncorrected formation energy (meV/atom) = -180
- magnetic moment (μB per atom) = 0.000

***

4.
## PaSbPd2 (PBE-GGA)

Data for a relaxed structure of PaSbPd2.

Structure (POSCAR):
```
PaSbPd2
1.0
4.8624 0.0000 0.0000
2.4312 4.2109 0.0000
2.4312 1.4036 3.9701
Sb Pa Pd
1 1 2
direct
0.5000 0.5000 0.5000
0.0000 0.0000 0.0000
0.2500 0.2500 0.2500
0.7500 0.7500 0.7500
```

- DOS at the Fermi energy (states/eV per atom) = 0.508
- DFT total energy (eV/atom) = -6.623
- ΔE to the lowest computed polymorph (meV per atom) = 0
- uncorrected formation energy (meV/atom) = -622
- magnetic moment (μB per atom) = 0.000

***

5.
## Cd2SiTc (PBE-GGA)

Data for a relaxed structure of Cd2SiTc.

Structure (POSCAR):
```
Cd2SiTc
1.0
-7.2582 -0.2814 1.7231
-6.4051 -2.8411 2.5752
-0.2286 1.1782 3.7681
Cd Si Tc
2 1 1
direct
0.9302 0.9302 0.0701
0.5698 0.5698 0.4299
0.7500 0.7500 0.7500
0.2500 0.2500 0.2500
```

- DOS at the Fermi energy (states/eV per atom) = 0.397
- DFT total energy (eV/atom) = -4.422
- uncorrected formation energy (meV/atom) = -17
- magnetic moment (μB per atom) = 0.000

***

6.
## SmAl4IrRh2 (PBE-GGA)

Data for a relaxed structure of SmAl4IrRh2.

Structure (POSCAR):
```
SmAl4IrRh2
1.0
-1.7843 3.3812 -1.7781
-3.9416 -0.2293 -1.4797
-5.0219 3.5640 6.8174
Sm Al Ir Rh
1 4 1 2
direct
0.0000 0.0000 0.0000
0.4050 0.4050 0.7851
0.8670 0.8670 0.3989
0.1330 0.1330 0.6011
0.5950 0.5950 0.2149
0.5000 0.5000 0.5000
0.7661 0.7661 0.7016
0.2339 0.2339 0.2984
```

- DOS at the Fermi energy (states/eV per atom) = 0.366
- ΔH_f (0 K) (kJ per mole of atoms) = -83.4
- DFT total energy (eV/atom) = -6.271
- magnetic moment (μB per atom) = 0.000

***

7.
## NaTaNbP2 (PBE-GGA)

Data for a relaxed structure of NaTaNbP2.

Structure (POSCAR):
```
NaTaNbP2
1.0
-0.6878 3.1259 3.6762
-1.7505 -3.7684 2.8768
4.5205 -0.8818 1.5956
P Nb Na Ta
2 1 1 1
direct
0.0000 0.0000 0.5000
0.5000 0.0000 0.0000
0.0000 0.5000 0.0000
0.5000 0.5000 0.5000
0.0000 0.0000 0.0000
```

- DOS at the Fermi energy (states/eV per atom) = 0.874
- ΔH_f (0 K) (kJ per mole of atoms) = 64.8
- DFT total energy (eV/atom) = -6.141
- magnetic moment (μB per atom) = 0.389

***

8.
## U2GaAs (PBE-GGA)

Data for a relaxed structure of U2GaAs.

Structure (POSCAR):
```
U2GaAs
1.0
-2.5485 1.5537 -2.4272
-0.4197 -1.4521 -3.5377
-6.3936 -4.7567 0.6193
As U Ga
1 2 1
direct
0.0000 0.0000 0.0000
0.7460 0.7460 0.7620
0.2540 0.2540 0.2380
0.5000 0.5000 0.5000
```

- DOS at the Fermi energy (states/eV per atom) = 3.821
- ΔH_f (0 K) (kJ per mole of atoms) = -8.9
- DFT total energy (eV/atom) = -7.655
- ΔE to the lowest computed polymorph (meV per atom) = 155
- magnetic moment (μB per atom) = 1.302